# Sr2LiMgZn2 | Alexandria | GGA-PBE | relaxed
data_Sr2LiMgZn2
_chemical_formula_sum 'Sr4 Li2 Mg2 Zn4'
_cell_length_a 6.448
_cell_length_b 6.401
_cell_length_c 9.382
_cell_angle_alpha 109.94
_cell_angle_beta 110.10
_cell_angle_gamma 90.00
_space_group_name_H-M_alt 'P 1'
_space_group_IT_number 1
loop_
_space_group_symop_operation_xyz
'x,y,z'
loop_
_atom_site_label
_atom_site_fract_x
_atom_site_fract_y
_atom_site_fract_z
Li1 0.750 0.500 0.000
Zn1 0.390 0.648 0.780
Li2 0.250 0.500 0.000
Sr1 0.671 0.915 0.342
Mg1 0.750 0.000 0.000
Zn2 0.610 0.352 0.220
Sr2 0.171 0.428 0.342
Zn3 0.110 0.868 0.220
Zn4 0.890 0.132 0.780
Sr3 0.829 0.572 0.658
Sr4 0.329 0.085 0.658
Mg2 0.250 0.000 0.000
# density of states at the Fermi level	0.799	states/eV per atom
# ΔE_f	-151	meV/atom
# SG	Ibam (72)
# total energy	-0.063	Ha/atom

# ThSi2Tc | Alexandria | GGA-PBE | relaxed
data_ThSi2Tc
_chemical_formula_sum 'Th1 Si2 Tc1'
_cell_length_a 3.186
_cell_length_b 3.186
_cell_length_c 6.966
_cell_angle_alpha 90.00
_cell_angle_beta 90.00
_cell_angle_gamma 90.00
_space_group_name_H-M_alt 'P 1'
_space_group_IT_number 1
loop_
_space_group_symop_operation_xyz
'x,y,z'
loop_
_atom_site_label
_atom_site_fract_x
_atom_site_fract_y
_atom_site_fract_z
Si1 0.000 0.000 0.188
Tc1 0.500 0.500 0.000
Si2 0.000 0.000 0.812
Th1 0.500 0.500 0.500
# density of states at the Fermi level	1.119	states/eV per atom
# SG	P4/mmm (123)
# raw formation energy	-0.3687	eV/atom
# total energy	-0.277	Ha/atom

# K2SiCl | Alexandria | GGA-PBE | relaxed
data_K2SiCl
_chemical_formula_sum 'K2 Si1 Cl1'
_cell_length_a 5.758
_cell_length_b 5.758
_cell_length_c 5.758
_cell_angle_alpha 60.00
_cell_angle_beta 60.00
_cell_angle_gamma 60.00
_space_group_name_H-M_alt 'P 1'
_space_group_IT_number 1
loop_
_space_group_symop_operation_xyz
'x,y,z'
loop_
_atom_site_label
_atom_site_fract_x
_atom_site_fract_y
_atom_site_fract_z
Cl1 0.500 0.500 0.500
K1 0.000 0.000 0.000
Si1 0.750 0.750 0.750
K2 0.250 0.250 0.250
# density of states at the Fermi level	0.120	states/eV per atom
# SG	F-43m (216)
# raw formation energy	-0.0372	eV/atom
# total energy	-0.088	Ha/atom

# GdDyTmOs | Alexandria | GGA-PBE | relaxed
data_GdDyTmOs
_chemical_formula_sum 'Gd1 Dy1 Tm1 Os1'
_cell_length_a 5.114
_cell_length_b 5.114
_cell_length_c 5.114
_cell_angle_alpha 60.00
_cell_angle_beta 60.00
_cell_angle_gamma 60.00
_space_group_name_H-M_alt 'P 1'
_space_group_IT_number 1
loop_
_space_group_symop_operation_xyz
'x,y,z'
loop_
_atom_site_label
_atom_site_fract_x
_atom_site_fract_y
_atom_site_fract_z
Dy1 0.000 0.000 0.000
Gd1 0.500 0.500 0.500
Tm1 0.750 0.750 0.750
Os1 0.250 0.250 0.250
# density of states at the Fermi level	1.002	states/eV per atom
# ΔE_f	121	meV/atom
# SG	F-43m (216)
# total energy	-0.311	Ha/atom

# CdBSb3 | Alexandria | GGA-PBE | relaxed
data_CdBSb3
_chemical_formula_sum 'Cd1 B1 Sb3'
_cell_length_a 4.908
_cell_length_b 4.908
_cell_length_c 4.908
_cell_angle_alpha 90.00
_cell_angle_beta 90.00
_cell_angle_gamma 90.00
_space_group_name_H-M_alt 'P 1'
_space_group_IT_number 1
loop_
_space_group_symop_operation_xyz
'x,y,z'
loop_
_atom_site_label
_atom_site_fract_x
_atom_site_fract_y
_atom_site_fract_z
Cd1 0.500 0.500 0.500
Sb1 0.500 0.000 0.000
Sb2 0.000 0.500 0.000
B1 0.000 0.000 0.000
Sb3 0.000 0.000 0.500
# density of states at the Fermi level	0.851	states/eV per atom
# SG	Pm-3m (221)
# raw formation energy	0.7022	eV/atom
# total energy	-0.121	Ha/atom

# MgNi2Pb | Alexandria | GGA-PBE | relaxed
data_MgNi2Pb
_chemical_formula_sum 'Mg2 Ni4 Pb2'
_cell_length_a 7.060
_cell_length_b 7.060
_cell_length_c 5.736
_cell_angle_alpha 52.02
_cell_angle_beta 52.02
_cell_angle_gamma 90.00
_space_group_name_H-M_alt 'P 1'
_space_group_IT_number 1
loop_
_space_group_symop_operation_xyz
'x,y,z'
loop_
_atom_site_label
_atom_site_fract_x
_atom_site_fract_y
_atom_site_fract_z
Mg1 0.250 0.750 0.500
Pb1 0.750 0.250 0.500
Ni1 0.131 0.625 0.250
Ni2 0.619 0.125 0.250
Ni3 0.375 0.381 0.750
Ni4 0.875 0.869 0.750
Pb2 0.000 0.000 0.000
Mg2 0.500 0.500 0.000
# density of states at the Fermi level	0.510	states/eV per atom
# ΔE_f	335	meV/atom
# SG	I-42d (122)
# total energy	-0.143	Ha/atom

# TlGaHg2Br | Alexandria | GGA-PBE | relaxed
data_TlGaHg2Br
_chemical_formula_sum 'Tl1 Ga1 Hg2 Br1'
_cell_length_a 5.278
_cell_length_b 5.278
_cell_length_c 5.723
_cell_angle_alpha 90.00
_cell_angle_beta 90.00
_cell_angle_gamma 90.00
_space_group_name_H-M_alt 'P 1'
_space_group_IT_number 1
loop_
_space_group_symop_operation_xyz
'x,y,z'
loop_
_atom_site_label
_atom_site_fract_x
_atom_site_fract_y
_atom_site_fract_z
Hg1 0.500 0.000 0.000
Br1 0.500 0.500 0.500
Hg2 0.000 0.500 0.000
Ga1 0.000 0.000 0.000
Tl1 0.000 0.000 0.500
# density of states at the Fermi level	0.280	states/eV per atom
# SG	P4/mmm (123)
# raw formation energy	-0.1677	eV/atom
# total energy	-0.063	Ha/atom

# LiHo2Ir | Alexandria | GGA-PBE | relaxed
data_LiHo2Ir
_chemical_formula_sum 'Li1 Ho2 Ir1'
_cell_length_a 4.891
_cell_length_b 4.891
_cell_length_c 4.891
_cell_angle_alpha 60.00
_cell_angle_beta 60.00
_cell_angle_gamma 60.00
_space_group_name_H-M_alt 'P 1'
_space_group_IT_number 1
loop_
_space_group_symop_operation_xyz
'x,y,z'
loop_
_atom_site_label
_atom_site_fract_x
_atom_site_fract_y
_atom_site_fract_z
Ho1 0.250 0.250 0.250
Ir1 0.500 0.500 0.500
Li1 0.000 0.000 0.000
Ho2 0.750 0.750 0.750
# density of states at the Fermi level	0.715	states/eV per atom
# ΔE_f	-594	meV/atom
# SG	Fm-3m (225)
# total energy	-0.205	Ha/atom